Entry 1:
Y4Zn2Rh: optimized geometry, PBE.

Its space group is I4/mmm (139). The total magnetization is 0.00 μB/f.u. As for the formation energy: -0.376 eV/atom.

POSCAR file:
```
Y4Zn2Rh
1.0
7.016 0.000 0.000
0.000 7.016 0.000
0.000 0.000 6.969
Y Zn Rh
8 4 2
Cartesian
1.754 1.754 1.742
1.754 1.754 5.227
1.754 5.262 1.742
1.754 5.262 5.227
5.262 1.754 1.742
5.262 1.754 5.227
5.262 5.262 1.742
5.262 5.262 5.227
0.000 3.508 0.000
0.000 3.508 3.485
3.508 0.000 0.000
3.508 0.000 3.485
0.000 0.000 0.000
3.508 3.508 3.485
```



Entry 2:
Mg2BeB: optimized geometry, PBE.

The energy above the most stable polymorph in this dataset is 29 kJ/mol of formula units. Its space group is P1 (1). The total magnetization is 0.00 μB/f.u. As for the formation energy: 0.176 eV/atom.

POSCAR file:
```
Mg2BeB
1.0
3.308 0.000 0.000
1.644 5.128 0.000
0.004 0.278 6.621
Mg Be B
4 2 2
Cartesian
0.000 0.000 0.000
1.646 3.852 2.883
1.654 1.115 2.304
3.303 2.778 0.216
1.655 1.749 4.845
3.301 4.710 4.620
3.308 2.634 4.281
3.308 0.876 4.276
```